GGA-PBE SrInSb2, relaxed; symmetry = P4mm (99); E_form (uncorrected) = -0.304 eV per atom; size of the total moment = 0.0 μB per formula unit
1.0
4.1961 -0.0002 0.0000
0.0002 4.1961 0.0000
0.0000 0.0000 6.9823
Sb Sr In
2 1 1
Direct
0.5000 0.5000 0.2118
0.0000 0.0000 0.0072
0.0000 0.0000 0.4945
0.5000 0.5000 0.7865